Entry 1:
Here is a geometry-optimized La8GaHg2 structure from the Alexandria database. Energies are from PBE.

Structure (extended XYZ):
```
11
Lattice="5.344 0.000 0.000 0.000 7.275 -0.068 -2.672 -3.198 9.176" Properties=species:S:1:pos:R:3 pbc="T T T"
La 2.672 -1.465 8.961
Hg 2.672 -0.105 6.018
Ga 2.672 0.000 0.000
La 2.672 2.802 1.570
La 0.000 -2.095 6.164
La 0.000 1.061 3.639
La 0.000 5.542 0.147
La 2.672 6.173 2.945
La 2.672 3.016 5.470
La 0.000 1.275 7.539
Hg 0.000 4.182 3.091
```

Summary:
Distance to the lowest polymorph of the same formula (eV per atom): 0.000


Entry 2:
Here is a geometry-optimized La2GaHg structure from the Alexandria database. Energies are from PBE.

Structure (extended XYZ):
```
4
Lattice="-0.262 -3.748 -0.521 1.335 -0.580 3.503 -7.341 0.122 2.818" Properties=species:S:1:pos:R:3 pbc="T T T"
La -5.621 0.094 2.158
La -1.720 0.029 0.660
Hg -3.134 -2.103 2.900
Ga 0.536 -2.164 1.491
```

Summary:
Distance to the lowest polymorph of the same formula (eV per atom): 0.000